Entry 1:
## ZrCu3Pb (PBE)

Data for an optimized crystal structure of ZrCu3Pb.

Unit cell a=4.7761 b=4.7761 c=4.7761 alpha=90.00 beta=90.00 gamma=90.00
With the nearest neighbours (Å) after each atom.
Space group Pm-3m (No. 221)
Symmetry-distinct sites (fractional):
Zr (0.0000, 0.0000, 0.0000) x1  12 Cu 3.38
Cu (0.0000, 0.5000, 0.5000) x3  2 Pb 2.39
Pb (0.5000, 0.5000, 0.5000) x1  6 Cu 2.39

Values from the calculation:
The value obtained for the energy above the most stable polymorph in this dataset is 0.0 meV per atom. The calculation puts the formation enthalpy at 0 K at 0.9821 eV/atom.

=====

Entry 2:
## AlAg6Au12 (PBE)

Data for an optimized crystal structure of AlAg6Au12.

Unit cell a=10.1360 b=10.1360 c=11.7698 alpha=90.00 beta=90.00 gamma=120.00
With the nearest neighbours (Å) after each atom.
Space group R-3 (No. 148, hexagonal axes)
Symmetry-distinct sites (fractional):
Al (0.0000, 0.0000, 0.0000) x3  6 Au 2.72, 6 Ag 2.85
Ag (0.0273, 0.5941, 0.7084) x18  9 Au 2.83-3.05, 1 Al 2.85, 2 Ag 2.97
Au (0.0418, 0.8597, 0.8174) x18  1 Al 2.72, 4 Au 2.80-2.90, 5 Ag 2.87-3.05
Au (0.0603, 0.2060, 0.4074) x18  4 Au 2.80-2.97, 4 Ag 2.83-2.92

Values from the calculation:
The calculation puts the formation enthalpy at 0 K at -0.0254 eV/atom.

=====

Entry 3:
## YMn3Ge3 (PBE)

Data for an optimized crystal structure of YMn3Ge3.

Unit cell a=11.2241 b=11.2241 c=11.2241 alpha=90.00 beta=90.00 gamma=90.00
With the nearest neighbours (Å) after each atom.
Space group Fm-3m (No. 225)
Symmetry-distinct sites (fractional):
Y (0.2500, 0.2500, 0.2500) x8  12 Ge 4.09, 12 Mn 4.16
Mn (0.0000, 0.0000, 0.1392) x24  4 Mn 2.21, 1 Ge 2.23
Ge (0.0000, 0.0000, 0.3383) x24  1 Mn 2.23

Values from the calculation:
The value obtained for the energy above the most stable polymorph in this dataset is 575.4 meV per atom. The calculation puts the formation enthalpy at 0 K at 0.8729 eV/atom.

=====

Entry 4:
## K2ThCu2O6 (PBE)

Data for an optimized crystal structure of K2ThCu2O6.

Unit cell a=6.0795 b=6.0795 c=6.8506 alpha=90.00 beta=90.00 gamma=120.00
With the nearest neighbours (Å) after each atom.
Space group P-3 (No. 147)
Symmetry-distinct sites (fractional):
K (0.3333, 0.6667, 0.3392) x2  3 O 2.69
Th (0.0000, 0.0000, 0.0000) x1  6 O 2.31
Cu (0.3333, 0.6667, 0.8176) x2  3 O 1.79
O (0.0839, 0.3425, 0.8035) x6  1 Cu 1.79

Values from the calculation:
The value obtained for the uncorrected formation energy is -1590 kJ/mol of formula units.

=====

Entry 5:
## Er5GaCu2 (PBE)

Data for an optimized crystal structure of Er5GaCu2.

Unit cell a=7.6596 b=7.6596 c=12.8943 alpha=90.00 beta=90.00 gamma=90.00
With the nearest neighbours (Å) after each atom.
Space group I4/mcm (No. 140)
Symmetry-distinct sites (fractional):
Er (0.0000, 0.0000, 0.0000) x4  4 Cu 3.02, 2 Ga 3.22
Er (0.1594, 0.3406, 0.1458) x16  3 Cu 2.90-2.99, 2 Ga 3.18
Ga (0.0000, 0.0000, 0.2500) x4  10 Er 3.18-3.22
Cu (0.1262, 0.3738, 0.5000) x8  1 Cu 2.73, 8 Er 2.90-3.02

Values from the calculation:
The calculation puts the formation enthalpy at 0 K at -0.2777 eV/atom.

=====

Entry 6:
## Pr8GaP3I4 (PBE)

Data for an optimized crystal structure of Pr8GaP3I4.

Unit cell a=8.5728 b=8.5728 c=23.4088 alpha=90.00 beta=90.00 gamma=120.00
With the nearest neighbours (Å) after each atom.
Space group R-3m (No. 166, hexagonal axes)
Symmetry-distinct sites (fractional):
Pr (0.0000, 0.0000, 0.2296) x6  3 P 2.88
Pr (0.0060, 0.5030, 0.7685) x18  2 P 2.88, 1 Ga 2.94
Ga (0.0000, 0.0000, 0.5000) x3  6 Pr 2.94
P (0.0000, 0.5000, 0.5000) x9  6 Pr 2.88
I (0.0000, 0.0000, 0.0000) x3  6 Pr 3.40
I (0.0000, 0.5000, 0.0000) x9  6 Pr 3.45-3.47

Values from the calculation:
The value obtained for the uncorrected formation energy is -1893 kJ/mol of formula units.

=====

Entry 7:
## BeCuRh2 (PBE)

Data for an optimized crystal structure of BeCuRh2.

Unit cell a=2.8026 b=2.8026 c=6.1481 alpha=90.00 beta=90.00 gamma=90.00
With the nearest neighbours (Å) after each atom.
Space group P4/mmm (No. 123)
Symmetry-distinct sites (fractional):
Be (0.0000, 0.0000, 0.0000) x1  8 Rh 2.40
Cu (0.0000, 0.0000, 0.5000) x1  8 Rh 2.62, 4 Cu 2.80
Rh (0.5000, 0.5000, 0.2204) x2  4 Be 2.40, 4 Cu 2.62

Values from the calculation:
The calculation puts the formation enthalpy at 0 K at -0.2321 eV/atom.

=====

Entry 8:
## KZn2Bi2O6 (PBE)

Data for an optimized crystal structure of KZn2Bi2O6.

Unit cell a=5.8866 b=6.2421 c=6.4081 alpha=63.86 beta=65.93 gamma=68.00
With the nearest neighbours (Å) after each atom.
Space group P-1 (No. 2)
Symmetry-distinct sites (fractional):
K (0.0000, 0.0000, 0.0000) x1  4 O 2.59-2.80
Zn (0.4896, 0.6352, 0.2738) x2  3 O 1.91-2.13
Bi (0.0574, 0.3166, 0.3166) x2  6 O 2.26-2.47
O (0.2037, 0.9021, 0.3314) x2  1 Zn 1.92
O (0.2325, 0.5567, 0.9060) x2  1 Zn 1.91
O (0.2569, 0.3900, 0.5447) x2  2 Zn 2.13-2.16, 1 Bi 2.26

Values from the calculation:
The value obtained for the uncorrected formation energy is -1244 kJ/mol of formula units.

=====

Entry 9:
## Cd2GaAgSe4 (PBE)

Data for an optimized crystal structure of Cd2GaAgSe4.

Unit cell a=6.1277 b=6.1277 c=11.7917 alpha=90.00 beta=90.00 gamma=90.00
With the nearest neighbours (Å) after each atom.
Space group I-42m (No. 121)
Symmetry-distinct sites (fractional):
Cd (0.0000, 0.5000, 0.2500) x4  4 Se 2.68
Ga (0.0000, 0.0000, 0.0000) x2  4 Se 2.45
Ag (0.0000, 0.0000, 0.5000) x2  4 Se 2.68
Se (0.2344, 0.2344, 0.8833) x8  1 Ga 2.45, 2 Cd 2.68, 1 Ag 2.68

Values from the calculation:
The value obtained for the energy above the most stable polymorph in this dataset is 0.0 meV per atom. The value obtained for the uncorrected formation energy is -417 kJ/mol of formula units.

=====

Entry 10:
## TlSnPb2Br (PBE)

Data for an optimized crystal structure of TlSnPb2Br.

Unit cell a=12.2990 b=3.5917 c=7.5783 alpha=90.00 beta=105.05 gamma=90.00
With the nearest neighbours (Å) after each atom.
Space group Cm (No. 8)
Symmetry-distinct sites (fractional):
Tl (0.0000, 0.0000, 0.0000) x2  3 Br 3.31-3.70, 2 Pb 3.44, 1 Sn 3.45, 2 Tl 3.59
Sn (0.3908, 0.5000, 0.5321) x2  1 Br 2.87
Pb (0.0779, 0.5000, 0.4009) x2  2 Sn 3.27, 4 Pb 3.36-3.59, 1 Br 3.39, 2 Tl 3.44
Pb (0.2406, 0.0000, 0.7434) x2  2 Sn 3.28, 4 Pb 3.36-3.59, 2 Br 3.52
Br (0.2708, 0.5000, 0.1529) x2  1 Sn 2.87

Values from the calculation:
The value obtained for the energy above the most stable polymorph in this dataset is 97.1 meV per atom. The value obtained for the uncorrected formation energy is -59 kJ/mol of formula units.

=====

Entry 11:
## BeReSb3 (PBE)

Data for an optimized crystal structure of BeReSb3.

Unit cell a=5.1821 b=5.1821 c=5.1821 alpha=90.00 beta=90.00 gamma=90.00
With the nearest neighbours (Å) after each atom.
Space group Pm-3m (No. 221)
Symmetry-distinct sites (fractional):
Be (0.0000, 0.0000, 0.0000) x1  12 Sb 3.66
Re (0.5000, 0.5000, 0.5000) x1  6 Sb 2.59
Sb (0.0000, 0.5000, 0.5000) x3  2 Re 2.59

Values from the calculation:
The value obtained for the energy above the most stable polymorph in this dataset is 0.0 meV per atom. The value obtained for the uncorrected formation energy is 537 kJ/mol of formula units.

=====

Entry 12:
## Nd2DyThBi4 (PBE)

Data for an optimized crystal structure of Nd2DyThBi4.

Unit cell a=7.9077 b=4.5825 c=7.9330 alpha=90.00 beta=109.48 gamma=90.00
With the nearest neighbours (Å) after each atom.
Space group P2/m (No. 10)
Symmetry-distinct sites (fractional):
Nd (0.0000, 0.0000, 0.0000) x1  6 Bi 3.24
Nd (0.5000, 0.5000, 0.0000) x1  6 Bi 3.27-3.28
Dy (0.0000, 0.5000, 0.5000) x1  6 Bi 3.20
Th (0.5000, 0.0000, 0.5000) x1  6 Bi 3.23-3.24
Bi (0.2444, 0.0000, 0.7435) x2  2 Dy 3.20, 1 Th 3.23, 3 Nd 3.24-3.28
Bi (0.2473, 0.5000, 0.2531) x2  1 Dy 3.20, 2 Th 3.24, 3 Nd 3.24-3.27

Values from the calculation:
The calculation puts the formation enthalpy at 0 K at -0.8442 eV/atom.

=====

Entry 13:
## Au3C (PBE)

Data for an optimized crystal structure of Au3C.

Unit cell a=4.3040 b=4.3040 c=4.3040 alpha=90.00 beta=90.00 gamma=90.00
With the nearest neighbours (Å) after each atom.
Space group Pm-3m (No. 221)
Symmetry-distinct sites (fractional):
Au (0.0000, 0.0000, 0.5000) x3  2 C 2.15
C (0.0000, 0.0000, 0.0000) x1  6 Au 2.15

Values from the calculation:
The value obtained for the energy above the most stable polymorph in this dataset is 291.6 meV per atom. The calculation puts the formation enthalpy at 0 K at 0.8511 eV/atom.

=====

Number 1: raw total energy -3.9269 eV/atom. Number 2: raw total energy -3.1926 eV/atom. Number 3: raw total energy -5.9592 eV/atom. Number 4: raw total energy -5.8211 eV/atom. Number 5: raw total energy -4.5319 eV/atom. Number 6: raw total energy -5.2068 eV/atom. Number 7: raw total energy -5.8634 eV/atom. Number 8: raw total energy -4.9139 eV/atom. Number 9: raw total energy -3.2454 eV/atom. Number 10: raw total energy -3.2136 eV/atom. Number 11: raw total energy -4.5943 eV/atom. Number 12: raw total energy -5.4794 eV/atom. Number 13: raw total energy -3.9129 eV/atom.